# 1
Compound: ZnSbOF2
Source: the Alexandria database
Functional: GGA-PBE
Structure: optimized geometry

Values from the calculation:
Fermi-level density of states: 2.06 states/eV per cell
Polymorph energy (0 for the lowest one): 0 meV per atom

a = 4.051 Å, b = 4.051 Å, c = 4.101 Å
α = 90.00°, β = 90.00°, γ = 90.00°
Sites, in units of the cell vectors:
F (0.500, 0.000, 0.000)
O (0.000, 0.000, 0.500)
F (0.000, 0.500, 0.000)
Sb (0.500, 0.500, 0.500)
Zn (0.000, 0.000, 0.000)

---

# 2
Compound: ZnSbO2F
Source: the Alexandria database
Functional: GGA-PBE
Structure: optimized geometry

Values from the calculation:
Fermi-level density of states: 2.89 states/eV per cell

a = 4.113 Å, b = 4.113 Å, c = 4.370 Å
α = 90.00°, β = 90.00°, γ = 90.00°
Site moments in Bohr magnetons follow the coordinates.
Sites, in units of the cell vectors:
Sb (0.000, 0.000, 0.000)  0.01
F (0.000, 0.000, 0.500)  0.01
O (0.500, 0.000, 0.000)  0.04
O (0.000, 0.500, 0.000)  0.04
Zn (0.500, 0.500, 0.500)  0.18

---

# 3
Compound: ZnSbOF2
Source: the Alexandria database
Functional: GGA-PBE
Structure: optimized geometry

Values from the calculation:
Fermi-level density of states: 2.65 states/eV per cell
Polymorph energy (0 for the lowest one): 53 meV per atom

a = 4.520 Å, b = 4.138 Å, c = 4.520 Å
α = 90.00°, β = 90.00°, γ = 90.00°
Site moments in Bohr magnetons follow the coordinates.
Sites, in units of the cell vectors:
F (0.000, 0.000, 0.500)  0.02
F (0.500, 0.000, 0.000)  0.01
Sb (0.000, 0.000, 0.000)  -0.01
Zn (0.500, 0.500, 0.500)  0.17
O (0.000, 0.500, 0.000)  0.03

---

# 4
Compound: ZrSbOF2
Source: the Alexandria database
Functional: GGA-PBE
Structure: optimized geometry

Values from the calculation:
Fermi-level density of states: 6.88 states/eV per cell
Polymorph energy (0 for the lowest one): 1135 meV per atom

a = 4.524 Å, b = 4.524 Å, c = 4.367 Å
α = 90.00°, β = 90.00°, γ = 90.00°
Site moments in Bohr magnetons follow the coordinates.
Sites, in units of the cell vectors:
F (0.500, 0.000, 0.000)  0.05
Sb (0.000, 0.000, 0.000)  0.05
Zr (0.500, 0.500, 0.500)  1.69
O (0.000, 0.000, 0.500)  0.02
F (0.000, 0.500, 0.000)  0.05

---

# 5
Compound: ZrSbO2F
Source: the Alexandria database
Functional: GGA-PBE
Structure: optimized geometry

Values from the calculation:
Fermi-level density of states: 2.33 states/eV per cell

a = 4.209 Å, b = 4.209 Å, c = 4.351 Å
α = 90.00°, β = 90.00°, γ = 90.00°
Sites, in units of the cell vectors:
O (0.500, 0.000, 0.000)
Zr (0.000, 0.000, 0.000)
Sb (0.500, 0.500, 0.500)
F (0.000, 0.000, 0.500)
O (0.000, 0.500, 0.000)

---

# 6
Compound: ZrSbO2F
Source: the Alexandria database
Functional: GGA-PBE
Structure: optimized geometry

Values from the calculation:
Fermi-level density of states: 5.25 states/eV per cell

a = 4.362 Å, b = 4.362 Å, c = 4.285 Å
α = 90.00°, β = 90.00°, γ = 90.00°
Site moments in Bohr magnetons follow the coordinates.
Sites, in units of the cell vectors:
Zr (0.500, 0.500, 0.500)  1.48
Sb (0.000, 0.000, 0.000)  0.00
O (0.500, 0.000, 0.000)  -0.01
F (0.000, 0.000, 0.500)  0.04
O (0.000, 0.500, 0.000)  -0.01

---

# 7
Compound: ZrSbOF2
Source: the Alexandria database
Functional: GGA-PBE
Structure: optimized geometry

Values from the calculation:
Fermi-level density of states: 2.66 states/eV per cell
Polymorph energy (0 for the lowest one): 0 meV per atom

a = 4.483 Å, b = 4.483 Å, c = 4.090 Å
α = 90.00°, β = 90.00°, γ = 90.00°
Site moments in Bohr magnetons follow the coordinates.
Sites, in units of the cell vectors:
Zr (0.000, 0.000, 0.000)  0.17
Sb (0.500, 0.500, 0.500)  0.30
O (0.000, 0.000, 0.500)  0.04
F (0.000, 0.500, 0.000)  0.04
F (0.500, 0.000, 0.000)  0.04

---

# 8
Compound: ScOF
Source: the Alexandria database
Functional: GGA-PBE
Structure: optimized geometry

Values from the calculation:
Fermi-level density of states: 0.00 states/eV per cell

a = 3.274 Å, b = 5.693 Å, c = 5.963 Å
α = 117.87°, β = 105.93°, γ = 90.00°
Sites, in units of the cell vectors:
F (0.657, 0.328, 0.314)
O (0.154, 0.827, 0.308)
F (0.343, 0.672, 0.686)
O (0.846, 0.173, 0.692)
Sc (0.262, 0.236, 0.525)
Sc (0.738, 0.764, 0.475)

---

# 9
Compound: ScO2F2
Source: the Alexandria database
Functional: GGA-PBE
Structure: optimized geometry

Values from the calculation:
Fermi-level density of states: 2.09 states/eV per cell

a = 3.572 Å, b = 3.572 Å, c = 4.078 Å
α = 90.00°, β = 90.00°, γ = 90.00°
Site moments in Bohr magnetons follow the coordinates.
Sites, in units of the cell vectors:
F (0.000, 0.000, 0.500)  0.00
F (0.000, 0.000, 0.000)  0.07
Sc (0.500, 0.500, 0.500)  -0.01
O (0.500, 0.000, 0.000)  0.13
O (0.000, 0.500, 0.000)  0.13

---

# 10
Compound: ScO2F4
Source: the Alexandria database
Functional: GGA-PBE
Structure: optimized geometry

Values from the calculation:
Fermi-level density of states: 3.87 states/eV per cell

a = 3.727 Å, b = 3.512 Å, c = 8.381 Å
α = 122.07°, β = 102.84°, γ = 90.00°
Site moments in Bohr magnetons follow the coordinates.
Sites, in units of the cell vectors:
F (0.913, 0.278, 0.825)  0.11
F (0.415, 0.785, 0.831)  0.23
O (0.741, 0.634, 0.481)  1.76
Sc (0.000, 0.000, 0.000)  0.00
F (0.585, 0.215, 0.169)  0.23
O (0.259, 0.366, 0.519)  1.76
F (0.087, 0.722, 0.175)  0.11

---

# 11
Compound: Sc4O5F
Source: the Alexandria database
Functional: GGA-PBE
Structure: optimized geometry

Values from the calculation:
Fermi-level density of states: 3.31 states/eV per cell

a = 5.248 Å, b = 6.485 Å, c = 7.462 Å
α = 90.00°, β = 90.00°, γ = 90.00°
Site moments in Bohr magnetons follow the coordinates.
Sites, in units of the cell vectors:
F (0.181, 0.500, 0.500)  0.01
F (0.819, 0.000, 0.000)  0.01
O (0.753, 0.245, 0.693)  0.00
O (0.247, 0.255, 0.193)  0.00
Sc (0.984, 0.500, 0.236)  0.01
O (0.247, 0.745, 0.807)  0.00
O (0.217, 0.000, 0.500)  0.01
Sc (0.509, 0.256, 0.000)  0.14
O (0.753, 0.755, 0.693)  0.00
Sc (0.016, 0.000, 0.264)  0.01
O (0.753, 0.245, 0.307)  0.00
Sc (0.509, 0.744, 0.000)  0.14
Sc (0.491, 0.756, 0.500)  0.14
Sc (0.016, 0.000, 0.736)  0.01
Sc (0.491, 0.244, 0.500)  0.14
Sc (0.984, 0.500, 0.764)  0.01
O (0.783, 0.500, 0.000)  0.01
O (0.247, 0.255, 0.807)  0.00
O (0.247, 0.745, 0.193)  0.00
O (0.753, 0.755, 0.307)  0.00

---

# 12
Compound: ScOF
Source: the Alexandria database
Functional: GGA-PBE
Structure: optimized geometry

Values from the calculation:
Fermi-level density of states: 0.00 states/eV per cell

a = 3.256 Å, b = 3.256 Å, c = 4.890 Å
α = 90.00°, β = 90.00°, γ = 120.00°
Sites, in units of the cell vectors:
O (0.333, 0.667, 0.516)
Sc (0.667, 0.333, 0.364)
F (0.000, 0.000, 0.120)

---

# 13
Compound: ScOF
Source: the Alexandria database
Functional: GGA-PBE
Structure: optimized geometry

Values from the calculation:
Fermi-level density of states: 0.00 states/eV per cell

a = 5.197 Å, b = 5.224 Å, c = 5.279 Å
α = 80.29°, β = 90.00°, γ = 90.00°
Sites, in units of the cell vectors:
F (0.328, 0.557, 0.660)
F (0.172, 0.557, 0.160)
O (0.254, 0.043, 0.988)
O (0.754, 0.957, 0.512)
Sc (0.474, 0.809, 0.287)
Sc (0.974, 0.191, 0.213)
O (0.246, 0.043, 0.488)
F (0.828, 0.443, 0.840)
F (0.672, 0.443, 0.340)
Sc (0.026, 0.809, 0.787)
Sc (0.526, 0.191, 0.713)
O (0.746, 0.957, 0.012)

---

# 14
Compound: ScO2F
Source: the Alexandria database
Functional: GGA-PBE
Structure: optimized geometry

Values from the calculation:
Fermi-level density of states: 3.38 states/eV per cell
Polymorph energy (0 for the lowest one): 457 meV per atom

a = 3.801 Å, b = 3.801 Å, c = 3.801 Å
α = 60.00°, β = 60.00°, γ = 60.00°
Site moments in Bohr magnetons follow the coordinates.
Sites, in units of the cell vectors:
O (0.750, 0.750, 0.750)  0.69
O (0.250, 0.250, 0.250)  0.69
F (0.000, 0.000, 0.000)  0.42
Sc (0.500, 0.500, 0.500)  -0.05

---

# 15
Compound: ScO2F2
Source: the Alexandria database
Functional: GGA-PBE
Structure: optimized geometry

Values from the calculation:
Fermi-level density of states: 1.57 states/eV per cell

a = 3.854 Å, b = 3.854 Å, c = 3.594 Å
α = 90.00°, β = 90.00°, γ = 90.00°
Sites, in units of the cell vectors:
O (0.000, 0.000, 0.500)
Sc (0.500, 0.500, 0.500)
F (0.000, 0.500, 0.000)
O (0.000, 0.000, 0.000)
F (0.500, 0.000, 0.000)

---

# 16
Compound: Sc3OF
Source: the Alexandria database
Functional: GGA-PBE
Structure: optimized geometry

Values from the calculation:
Fermi-level density of states: 6.86 states/eV per cell
Polymorph energy (0 for the lowest one): 0 meV per atom

a = 4.392 Å, b = 4.392 Å, c = 4.392 Å
α = 90.00°, β = 90.00°, γ = 90.00°
Sites, in units of the cell vectors:
F (0.500, 0.500, 0.500)
Sc (0.000, 0.500, 0.000)
Sc (0.000, 0.000, 0.500)
Sc (0.500, 0.000, 0.000)
O (0.000, 0.000, 0.000)

---

# 17
Compound: ScO2F
Source: the Alexandria database
Functional: GGA-PBE
Structure: optimized geometry

Values from the calculation:
Fermi-level density of states: 1.03 states/eV per cell
Polymorph energy (0 for the lowest one): 0 meV per atom

a = 3.487 Å, b = 3.487 Å, c = 7.895 Å
α = 77.24°, β = 77.24°, γ = 90.00°
Sites, in units of the cell vectors:
O (0.875, 0.060, 0.750)
O (0.810, 0.125, 0.250)
O (0.940, 0.625, 0.250)
O (0.375, 0.190, 0.750)
F (0.500, 0.500, 0.000)
Sc (0.000, 0.000, 0.000)
Sc (0.750, 0.250, 0.500)
F (0.250, 0.750, 0.500)

---

# 18
Compound: Sc2O2F
Source: the Alexandria database
Functional: GGA-PBE
Structure: optimized geometry

Values from the calculation:
Fermi-level density of states: 3.93 states/eV per cell

a = 4.277 Å, b = 5.488 Å, c = 6.919 Å
α = 62.37°, β = 71.99°, γ = 67.07°
Sites, in units of the cell vectors:
O (0.984, 0.306, 0.727)
Sc (0.475, 0.293, 0.756)
O (0.658, 0.247, 0.437)
O (0.342, 0.753, 0.563)
F (0.646, 0.814, 0.894)
Sc (0.169, 0.235, 0.427)
Sc (0.525, 0.707, 0.244)
O (0.016, 0.694, 0.273)
F (0.354, 0.186, 0.106)
Sc (0.831, 0.765, 0.573)

---

# 19
Compound: ScO2F2
Source: the Alexandria database
Functional: GGA-PBE
Structure: optimized geometry

Values from the calculation:
Fermi-level density of states: 0.30 states/eV per cell

a = 4.031 Å, b = 4.031 Å, c = 4.280 Å
α = 90.00°, β = 90.00°, γ = 90.00°
Site moments in Bohr magnetons follow the coordinates.
Sites, in units of the cell vectors:
F (0.000, 0.500, 0.000)  0.03
Sc (0.000, 0.000, 0.000)  -0.03
F (0.500, 0.000, 0.000)  0.03
O (0.500, 0.500, 0.500)  1.59
O (0.000, 0.000, 0.500)  0.82

---

# 20
Compound: ScO6F2
Source: the Alexandria database
Functional: GGA-PBE
Structure: optimized geometry

Values from the calculation:
Fermi-level density of states: 0.19 states/eV per cell

a = 3.260 Å, b = 7.074 Å, c = 6.610 Å
α = 118.74°, β = 93.83°, γ = 93.17°
Site moments in Bohr magnetons follow the coordinates.
Sites, in units of the cell vectors:
O (0.944, 0.259, 0.525)  0.18
F (0.497, 0.124, 0.912)  0.00
O (0.924, 0.588, 0.276)  0.22
O (0.121, 0.273, 0.343)  0.00
F (0.503, 0.876, 0.088)  0.00
O (0.056, 0.741, 0.475)  0.18
O (0.076, 0.412, 0.724)  0.22
Sc (0.000, 0.000, 0.000)  0.01
O (0.879, 0.727, 0.657)  0.00

---

E (computed, eV per cell): -20.32 -21.74 -20.06 -25.54 -34.21 -28.57 -31.22 -47.76 -23.88 -34.01 -170.65 -23.89 -97.68 -24.61 -24.24 -32.02 -52.87 -82.27 -29.33 -50.36
Uncorrected formation energy (computed, kJ per mole of atoms): -120.1 -87.9 -115.0 -80.4 -188.1 -79.4 -190.0 -344.7 -75.0 -141.6 -321.6 -345.0 -362.1 -156.5 -82.0 -119.7 -200.6 -321.9 -180.1 -113.0
Mass density (computed, g cm⁻³): 5.9 5.3 4.7 5.0 5.7 5.4 5.4 2.8 3.7 2.8 3.6 3.0 3.8 4.1 3.6 3.3 3.5 3.6 2.7 2.2